No. 1
Density functional theory data (PBE) for a geometry-optimized In2FeTeAu structure.

Cell and atoms, written as CIF:
```
data_In2FeTeAu
_chemical_formula_sum 'In2 Fe1 Te1 Au1'
_cell_length_a 5.298
_cell_length_b 5.298
_cell_length_c 5.601
_cell_angle_alpha 90.00
_cell_angle_beta 90.00
_cell_angle_gamma 90.00
_space_group_name_H-M_alt 'P 1'
_space_group_IT_number 1
loop_
_space_group_symop_operation_xyz
'x,y,z'
loop_
_atom_site_label
_atom_site_type_symbol
_atom_site_fract_x
_atom_site_fract_y
_atom_site_fract_z
In1 In 0.000 0.500 0.000
In2 In 0.500 0.000 0.000
Fe1 Fe 0.000 0.000 0.500
Te1 Te 0.500 0.500 0.500
Au1 Au 0.500 0.500 0.000
```

Computed properties:
Formation energy from raw total energies (meV/atom): 753
Total moment (μB/f.u.): 3.6



No. 2
Density functional theory data (PBE) for a geometry-optimized CeMgTl structure.

Cell and atoms, written as CIF:
```
data_CeMgTl
_chemical_formula_sum 'Ce3 Mg3 Tl3'
_cell_length_a 7.737
_cell_length_b 7.737
_cell_length_c 4.784
_cell_angle_alpha 90.00
_cell_angle_beta 90.00
_cell_angle_gamma 120.00
_space_group_name_H-M_alt 'P 1'
_space_group_IT_number 1
loop_
_space_group_symop_operation_xyz
'x,y,z'
loop_
_atom_site_label
_atom_site_type_symbol
_atom_site_fract_x
_atom_site_fract_y
_atom_site_fract_z
Ce1 Ce 0.000 0.426 0.000
Ce2 Ce 0.426 0.000 0.000
Ce3 Ce 0.574 0.574 0.000
Mg1 Mg 0.000 0.758 0.500
Mg2 Mg 0.242 0.242 0.500
Mg3 Mg 0.758 0.000 0.500
Tl1 Tl 0.000 0.000 0.000
Tl2 Tl 0.333 0.667 0.500
Tl3 Tl 0.667 0.333 0.500
```

Computed properties:
Calculated total energy (eV for the cell shown): -31.57
Total moment (μB/f.u.): 1.0



No. 3
Density functional theory data (PBE) for a geometry-optimized Na2SrAl9 structure.

Cell and atoms, written as CIF:
```
data_Na2SrAl9
_chemical_formula_sum 'Na2 Sr1 Al9'
_cell_length_a 9.444
_cell_length_b 9.444
_cell_length_c 9.444
_cell_angle_alpha 35.39
_cell_angle_beta 35.39
_cell_angle_gamma 35.39
_space_group_name_H-M_alt 'P 1'
_space_group_IT_number 1
loop_
_space_group_symop_operation_xyz
'x,y,z'
loop_
_atom_site_label
_atom_site_type_symbol
_atom_site_fract_x
_atom_site_fract_y
_atom_site_fract_z
Na1 Na 0.143 0.143 0.143
Na2 Na 0.857 0.857 0.857
Sr1 Sr 0.000 0.000 0.000
Al1 Al 0.076 0.587 0.587
Al2 Al 0.335 0.335 0.335
Al3 Al 0.413 0.413 0.924
Al4 Al 0.413 0.924 0.413
Al5 Al 0.500 0.500 0.500
Al6 Al 0.587 0.076 0.587
Al7 Al 0.587 0.587 0.076
Al8 Al 0.665 0.665 0.665
Al9 Al 0.924 0.413 0.413
```

Computed properties:
Calculated total energy (eV for the cell shown): -38.51
Total moment (μB/f.u.): 0.0



Question: What is the total moment in the third record?
Answer: 0.0 μB/f.u.



Repeat the second record exactly.
Density functional theory data (PBE) for a geometry-optimized CeMgTl structure.

Cell and atoms, written as CIF:
```
data_CeMgTl
_chemical_formula_sum 'Ce3 Mg3 Tl3'
_cell_length_a 7.737
_cell_length_b 7.737
_cell_length_c 4.784
_cell_angle_alpha 90.00
_cell_angle_beta 90.00
_cell_angle_gamma 120.00
_space_group_name_H-M_alt 'P 1'
_space_group_IT_number 1
loop_
_space_group_symop_operation_xyz
'x,y,z'
loop_
_atom_site_label
_atom_site_type_symbol
_atom_site_fract_x
_atom_site_fract_y
_atom_site_fract_z
Ce1 Ce 0.000 0.426 0.000
Ce2 Ce 0.426 0.000 0.000
Ce3 Ce 0.574 0.574 0.000
Mg1 Mg 0.000 0.758 0.500
Mg2 Mg 0.242 0.242 0.500
Mg3 Mg 0.758 0.000 0.500
Tl1 Tl 0.000 0.000 0.000
Tl2 Tl 0.333 0.667 0.500
Tl3 Tl 0.667 0.333 0.500
```

Computed properties:
Calculated total energy (eV for the cell shown): -31.57
Total moment (μB/f.u.): 1.0



Question: Among the records above, which one has the highest total moment?
Answer: In2FeTeAu